[1]
# TaInCoHg PBE relaxed
data_TaInCoHg
_chemical_formula_sum 'Ta4 In4 Co4 Hg4'
_symmetry_space_group_name_H-M 'F -4 3 m'
_symmetry_Int_Tables_number 216
_symmetry_space_group_name_Hall 'F -4 2 3'
_cell_length_a 6.556
_cell_length_b 6.556
_cell_length_c 6.556
_cell_angle_alpha 90.00
_cell_angle_beta 90.00
_cell_angle_gamma 90.00
loop_
_atom_site_label
_atom_site_type_symbol
_atom_site_fract_x
_atom_site_fract_y
_atom_site_fract_z
Ta1 Ta 0.000 0.000 0.000
In1 In 0.250 0.250 0.250
Co1 Co 0.000 0.000 0.500
Hg1 Hg 0.250 0.250 0.750
# * calculated volume: 281.8 Å³/cell
# * energy relative to the lowest polymorph listed for this composition: 0.122 eV per atom
# * magnetization: 0.20 Bohr magnetons per cell
# * electronic total energy: -78.64 eV for the cell shown

***

[2]
# ZnInCoHg PBE relaxed
data_ZnInCoHg
_chemical_formula_sum 'Zn4 In4 Co4 Hg4'
_symmetry_space_group_name_H-M 'F -4 3 m'
_symmetry_Int_Tables_number 216
_symmetry_space_group_name_Hall 'F -4 2 3'
_cell_length_a 6.491
_cell_length_b 6.491
_cell_length_c 6.491
_cell_angle_alpha 90.00
_cell_angle_beta 90.00
_cell_angle_gamma 90.00
loop_
_atom_site_label
_atom_site_type_symbol
_atom_site_fract_x
_atom_site_fract_y
_atom_site_fract_z
Zn1 Zn 0.000 0.000 0.000
In1 In 0.250 0.250 0.250
Co1 Co 0.000 0.000 0.500
Hg1 Hg 0.250 0.250 0.750
# * calculated volume: 273.5 Å³/cell
# * energy relative to the lowest polymorph listed for this composition: 0.000 eV per atom
# * magnetization: 2.31 Bohr magnetons per cell
# * electronic total energy: -40.35 eV for the cell shown

***

[3]
# CoHg2Ir PBE relaxed
data_CoHg2Ir
_chemical_formula_sum 'Co4 Hg8 Ir4'
_symmetry_space_group_name_H-M 'F -4 3 m'
_symmetry_Int_Tables_number 216
_symmetry_space_group_name_Hall 'F -4 2 3'
_cell_length_a 6.476
_cell_length_b 6.476
_cell_length_c 6.476
_cell_angle_alpha 90.00
_cell_angle_beta 90.00
_cell_angle_gamma 90.00
loop_
_atom_site_label
_atom_site_type_symbol
_atom_site_fract_x
_atom_site_fract_y
_atom_site_fract_z
Co1 Co 0.000 0.000 0.000
Hg1 Hg 0.000 0.000 0.500
Hg2 Hg 0.250 0.250 0.750
Ir1 Ir 0.250 0.250 0.250
# * calculated volume: 271.6 Å³/cell
# * energy relative to the lowest polymorph listed for this composition: 0.000 eV per atom
# * magnetization: 8.77 Bohr magnetons per cell
# * electronic total energy: -55.88 eV for the cell shown

***

[4]
# CoSnHgIr PBE relaxed
data_CoSnHgIr
_chemical_formula_sum 'Co4 Sn4 Hg4 Ir4'
_symmetry_space_group_name_H-M 'F -4 3 m'
_symmetry_Int_Tables_number 216
_symmetry_space_group_name_Hall 'F -4 2 3'
_cell_length_a 6.445
_cell_length_b 6.445
_cell_length_c 6.445
_cell_angle_alpha 90.00
_cell_angle_beta 90.00
_cell_angle_gamma 90.00
loop_
_atom_site_label
_atom_site_type_symbol
_atom_site_fract_x
_atom_site_fract_y
_atom_site_fract_z
Co1 Co 0.000 0.000 0.000
Sn1 Sn 0.250 0.250 0.750
Hg1 Hg 0.250 0.250 0.250
Ir1 Ir 0.000 0.000 0.500
# * calculated volume: 267.7 Å³/cell
# * energy relative to the lowest polymorph listed for this composition: 0.000 eV per atom
# * magnetization: 3.59 Bohr magnetons per cell
# * electronic total energy: -76.65 eV for the cell shown

***

[5]
# TlCoHgIr PBE relaxed
data_TlCoHgIr
_chemical_formula_sum 'Tl4 Co4 Hg4 Ir4'
_symmetry_space_group_name_H-M 'F -4 3 m'
_symmetry_Int_Tables_number 216
_symmetry_space_group_name_Hall 'F -4 2 3'
_cell_length_a 6.487
_cell_length_b 6.487
_cell_length_c 6.487
_cell_angle_alpha 90.00
_cell_angle_beta 90.00
_cell_angle_gamma 90.00
loop_
_atom_site_label
_atom_site_type_symbol
_atom_site_fract_x
_atom_site_fract_y
_atom_site_fract_z
Tl1 Tl 0.000 0.000 0.000
Co1 Co 0.250 0.250 0.250
Hg1 Hg 0.000 0.000 0.500
Ir1 Ir 0.250 0.250 0.750
# * calculated volume: 273.0 Å³/cell
# * energy relative to the lowest polymorph listed for this composition: 0.000 eV per atom
# * magnetization: 3.55 Bohr magnetons per cell
# * electronic total energy: -65.17 eV for the cell shown

***

[6]
# LiCoHg PBE relaxed
data_LiCoHg
_chemical_formula_sum 'Li4 Co4 Hg4'
_symmetry_space_group_name_H-M 'F -4 3 m'
_symmetry_Int_Tables_number 216
_symmetry_space_group_name_Hall 'F -4 2 3'
_cell_length_a 6.029
_cell_length_b 6.029
_cell_length_c 6.029
_cell_angle_alpha 90.00
_cell_angle_beta 90.00
_cell_angle_gamma 90.00
loop_
_atom_site_label
_atom_site_type_symbol
_atom_site_fract_x
_atom_site_fract_y
_atom_site_fract_z
Li1 Li 0.000 0.000 0.000
Co1 Co 0.250 0.250 0.750
Hg1 Hg 0.000 0.000 0.500
# * calculated volume: 219.1 Å³/cell
# * energy relative to the lowest polymorph listed for this composition: 0.000 eV per atom
# * magnetization: 5.09 Bohr magnetons per cell
# * electronic total energy: -31.68 eV for the cell shown

***

[7]
# LiCoHgPb PBE relaxed
data_LiCoHgPb
_chemical_formula_sum 'Li4 Co4 Hg4 Pb4'
_symmetry_space_group_name_H-M 'F -4 3 m'
_symmetry_Int_Tables_number 216
_symmetry_space_group_name_Hall 'F -4 2 3'
_cell_length_a 6.527
_cell_length_b 6.527
_cell_length_c 6.527
_cell_angle_alpha 90.00
_cell_angle_beta 90.00
_cell_angle_gamma 90.00
loop_
_atom_site_label
_atom_site_type_symbol
_atom_site_fract_x
_atom_site_fract_y
_atom_site_fract_z
Li1 Li 0.000 0.000 0.000
Co1 Co 0.000 0.000 0.500
Hg1 Hg 0.250 0.250 0.750
Pb1 Pb 0.250 0.250 0.250
# * calculated volume: 278.0 Å³/cell
# * energy relative to the lowest polymorph listed for this composition: 0.000 eV per atom
# * magnetization: 2.10 Bohr magnetons per cell
# * electronic total energy: -50.40 eV for the cell shown

***

[8]
# LiCoSnHg PBE relaxed
data_LiCoSnHg
_chemical_formula_sum 'Li4 Co4 Sn4 Hg4'
_symmetry_space_group_name_H-M 'F -4 3 m'
_symmetry_Int_Tables_number 216
_symmetry_space_group_name_Hall 'F -4 2 3'
_cell_length_a 6.388
_cell_length_b 6.388
_cell_length_c 6.388
_cell_angle_alpha 90.00
_cell_angle_beta 90.00
_cell_angle_gamma 90.00
loop_
_atom_site_label
_atom_site_type_symbol
_atom_site_fract_x
_atom_site_fract_y
_atom_site_fract_z
Li1 Li 0.000 0.000 0.000
Co1 Co 0.000 0.000 0.500
Sn1 Sn 0.250 0.250 0.250
Hg1 Hg 0.250 0.250 0.750
# * calculated volume: 260.6 Å³/cell
# * energy relative to the lowest polymorph listed for this composition: 0.000 eV per atom
# * magnetization: 0.44 Bohr magnetons per cell
# * electronic total energy: -53.78 eV for the cell shown

***

[9]
# LiCoHgTe PBE relaxed
data_LiCoHgTe
_chemical_formula_sum 'Li4 Co4 Hg4 Te4'
_symmetry_space_group_name_H-M 'F -4 3 m'
_symmetry_Int_Tables_number 216
_symmetry_space_group_name_Hall 'F -4 2 3'
_cell_length_a 6.593
_cell_length_b 6.593
_cell_length_c 6.593
_cell_angle_alpha 90.00
_cell_angle_beta 90.00
_cell_angle_gamma 90.00
loop_
_atom_site_label
_atom_site_type_symbol
_atom_site_fract_x
_atom_site_fract_y
_atom_site_fract_z
Li1 Li 0.000 0.000 0.000
Co1 Co 0.000 0.000 0.500
Hg1 Hg 0.250 0.250 0.750
Te1 Te 0.250 0.250 0.250
# * calculated volume: 286.6 Å³/cell
# * energy relative to the lowest polymorph listed for this composition: 0.000 eV per atom
# * magnetization: 4.47 Bohr magnetons per cell
# * electronic total energy: -49.18 eV for the cell shown

***

[10]
# LiZnCoHg PBE relaxed
data_LiZnCoHg
_chemical_formula_sum 'Li4 Zn4 Co4 Hg4'
_symmetry_space_group_name_H-M 'F -4 3 m'
_symmetry_Int_Tables_number 216
_symmetry_space_group_name_Hall 'F -4 2 3'
_cell_length_a 6.124
_cell_length_b 6.124
_cell_length_c 6.124
_cell_angle_alpha 90.00
_cell_angle_beta 90.00
_cell_angle_gamma 90.00
loop_
_atom_site_label
_atom_site_type_symbol
_atom_site_fract_x
_atom_site_fract_y
_atom_site_fract_z
Li1 Li 0.000 0.000 0.000
Zn1 Zn 0.250 0.250 0.250
Co1 Co 0.000 0.000 0.500
Hg1 Hg 0.250 0.250 0.750
# * calculated volume: 229.7 Å³/cell
# * energy relative to the lowest polymorph listed for this composition: 0.000 eV per atom
# * magnetization: 0.02 Bohr magnetons per cell
# * electronic total energy: -41.93 eV for the cell shown

***

[11]
# LuCoHg2 PBE relaxed
data_LuCoHg2
_chemical_formula_sum 'Lu4 Co4 Hg8'
_symmetry_space_group_name_H-M 'F -4 3 m'
_symmetry_Int_Tables_number 216
_symmetry_space_group_name_Hall 'F -4 2 3'
_cell_length_a 6.792
_cell_length_b 6.792
_cell_length_c 6.792
_cell_angle_alpha 90.00
_cell_angle_beta 90.00
_cell_angle_gamma 90.00
loop_
_atom_site_label
_atom_site_type_symbol
_atom_site_fract_x
_atom_site_fract_y
_atom_site_fract_z
Lu1 Lu 0.000 0.000 0.000
Co1 Co 0.250 0.250 0.250
Hg1 Hg 0.000 0.000 0.500
Hg2 Hg 0.250 0.250 0.750
# * calculated volume: 313.4 Å³/cell
# * magnetization: 0.05 Bohr magnetons per cell
# * electronic total energy: -47.85 eV for the cell shown

***

[12]
# Lu2CoHg PBE relaxed
data_Lu2CoHg
_chemical_formula_sum 'Lu8 Co4 Hg4'
_symmetry_space_group_name_H-M 'F -4 3 m'
_symmetry_Int_Tables_number 216
_symmetry_space_group_name_Hall 'F -4 2 3'
_cell_length_a 6.780
_cell_length_b 6.780
_cell_length_c 6.780
_cell_angle_alpha 90.00
_cell_angle_beta 90.00
_cell_angle_gamma 90.00
loop_
_atom_site_label
_atom_site_type_symbol
_atom_site_fract_x
_atom_site_fract_y
_atom_site_fract_z
Lu1 Lu 0.000 0.000 0.000
Lu2 Lu 0.250 0.250 0.250
Co1 Co 0.250 0.250 0.750
Hg1 Hg 0.000 0.000 0.500
# * calculated volume: 311.7 Å³/cell
# * magnetization: 0.28 Bohr magnetons per cell
# * electronic total energy: -65.18 eV for the cell shown